FeCl3 | PBE | optimized geometry

Calculated values
The total magnetization is 4.3 μB per formula unit. The value obtained for the energy is -11.81 eV per cell.

```
data_FeCl3
_chemical_formula_sum 'Fe1 Cl3'
_space_group_name_H-M_alt 'P 1'
_space_group_IT_number 1
_cell_length_a 4.299
_cell_length_b 4.301
_cell_length_c 4.302
_cell_angle_alpha 90.00
_cell_angle_beta 90.00
_cell_angle_gamma 90.00
loop_
_space_group_symop_operation_xyz
'x,y,z'
loop_
_atom_site_label
_atom_site_fract_x
_atom_site_fract_y
_atom_site_fract_z
_atom_site_occupancy
Fe1 0.000 0.000 0.000 1
Cl1 0.500 0.000 0.500 1
Cl2 0.000 0.500 0.500 1
Cl3 0.500 0.500 0.000 1
```

***

KUTc | PBE | optimized geometry

Calculated values
The total magnetization is 1.9 μB per formula unit. The value obtained for the energy above the most stable polymorph in this dataset is 0 meV/atom. The value obtained for the energy is -17.05 eV per cell.

```
data_KUTc
_chemical_formula_sum 'K1 U1 Tc1'
_space_group_name_H-M_alt 'P 1'
_space_group_IT_number 1
_cell_length_a 4.730
_cell_length_b 4.730
_cell_length_c 4.730
_cell_angle_alpha 60.00
_cell_angle_beta 60.00
_cell_angle_gamma 60.00
loop_
_space_group_symop_operation_xyz
'x,y,z'
loop_
_atom_site_label
_atom_site_fract_x
_atom_site_fract_y
_atom_site_fract_z
_atom_site_occupancy
K1 0.250 0.250 0.250 1
Tc1 0.750 0.750 0.750 1
U1 0.000 0.000 0.000 1
```

***

Ba2BiPtS6 | PBE | optimized geometry

Calculated values
The total magnetization is 0.0 μB per formula unit. The value obtained for the energy is -46.77 eV per cell.

```
data_Ba2BiPtS6
_chemical_formula_sum 'Ba2 Bi1 Pt1 S6'
_space_group_name_H-M_alt 'P 1'
_space_group_IT_number 1
_cell_length_a 7.147
_cell_length_b 7.147
_cell_length_c 7.147
_cell_angle_alpha 120.00
_cell_angle_beta 120.00
_cell_angle_gamma 60.00
loop_
_space_group_symop_operation_xyz
'x,y,z'
loop_
_atom_site_label
_atom_site_fract_x
_atom_site_fract_y
_atom_site_fract_z
_atom_site_occupancy
Bi1 0.500 0.500 0.500 1
S1 0.765 0.235 0.235 1
Ba1 0.750 0.750 0.250 1
Ba2 0.250 0.250 0.750 1
S2 0.235 0.765 0.235 1
S3 0.235 0.765 0.765 1
S4 0.765 0.235 0.765 1
Pt1 0.000 0.000 0.000 1
S5 0.235 0.235 0.235 1
S6 0.765 0.765 0.765 1
```

***

HfCuGeIr | PBE | optimized geometry

Calculated values
The total magnetization is 0.0 μB per formula unit. The value obtained for the energy above the most stable polymorph in this dataset is 0 meV/atom. The value obtained for the energy is -28.86 eV per cell.

```
data_HfCuGeIr
_chemical_formula_sum 'Hf1 Cu1 Ge1 Ir1'
_space_group_name_H-M_alt 'P 1'
_space_group_IT_number 1
_cell_length_a 4.455
_cell_length_b 4.455
_cell_length_c 4.455
_cell_angle_alpha 60.00
_cell_angle_beta 60.00
_cell_angle_gamma 60.00
loop_
_space_group_symop_operation_xyz
'x,y,z'
loop_
_atom_site_label
_atom_site_fract_x
_atom_site_fract_y
_atom_site_fract_z
_atom_site_occupancy
Ir1 0.250 0.250 0.250 1
Ge1 0.000 0.000 0.000 1
Hf1 0.500 0.500 0.500 1
Cu1 0.750 0.750 0.750 1
```

***

ZrReNiB | PBE | optimized geometry

Calculated values
The total magnetization is 0.0 μB per formula unit. The value obtained for the energy is -32.62 eV per cell.

```
data_ZrReNiB
_chemical_formula_sum 'Zr1 Re1 Ni1 B1'
_space_group_name_H-M_alt 'P 1'
_space_group_IT_number 1
_cell_length_a 4.214
_cell_length_b 4.214
_cell_length_c 4.214
_cell_angle_alpha 60.00
_cell_angle_beta 60.00
_cell_angle_gamma 60.00
loop_
_space_group_symop_operation_xyz
'x,y,z'
loop_
_atom_site_label
_atom_site_fract_x
_atom_site_fract_y
_atom_site_fract_z
_atom_site_occupancy
Zr1 0.750 0.750 0.750 1
B1 0.000 0.000 0.000 1
Ni1 0.500 0.500 0.500 1
Re1 0.250 0.250 0.250 1
```

***

BeZnSnPt | PBE | optimized geometry

Calculated values
The total magnetization is 0.0 μB per formula unit. The value obtained for the energy above the most stable polymorph in this dataset is 16 meV/atom. The value obtained for the energy is -14.68 eV per cell.

```
data_BeZnSnPt
_chemical_formula_sum 'Be1 Zn1 Sn1 Pt1'
_space_group_name_H-M_alt 'P 1'
_space_group_IT_number 1
_cell_length_a 4.491
_cell_length_b 4.491
_cell_length_c 4.491
_cell_angle_alpha 60.00
_cell_angle_beta 60.00
_cell_angle_gamma 60.00
loop_
_space_group_symop_operation_xyz
'x,y,z'
loop_
_atom_site_label
_atom_site_fract_x
_atom_site_fract_y
_atom_site_fract_z
_atom_site_occupancy
Pt1 0.500 0.500 0.500 1
Be1 0.750 0.750 0.750 1
Sn1 0.250 0.250 0.250 1
Zn1 0.000 0.000 0.000 1
```